Rb2LiCrC | PBE-GGA | relaxed

Computed properties:
ΔH_f (0 K): 1802 meV per atom
Magnetization: 1.693 μB per atom
Final energy: -2.74 eV per atom

Cell and atoms, written as CIF:
```
data_Rb2LiCrC
_cell_length_a 6.869
_cell_length_b 6.869
_cell_length_c 5.282
_cell_angle_alpha 90.00
_cell_angle_beta 90.00
_cell_angle_gamma 90.00
_space_group_name_H-M_alt 'P 1'
_space_group_IT_number 1
loop_
_space_group_symop_operation_xyz
'x,y,z'
loop_
_atom_site_label
_atom_site_type_symbol
_atom_site_fract_x
_atom_site_fract_y
_atom_site_fract_z
_atom_site_occupancy
Rb1 Rb 0.000 0.500 0.000 1
Rb2 Rb 0.500 0.000 0.000 1
Li1 Li 0.000 0.000 0.500 1
Cr1 Cr 0.000 0.000 0.000 1
C1 C 0.500 0.500 0.500 1
```